Material: HgSb2SeI
Method: DFT, GGA-PBE
State: relaxed

Properties
Formation energy without anion corrections   0.530 eV per atom
Space group   P4/mmm (123)
ΔE to the lowest computed polymorph   0 meV per atom
Calculated volume   36.3 Å³ per atom
DOS(E_F)   4.63 states/eV/cell
E   -2.19 eV per atom
Calculated density   5.9 g/cm3

Cell lengths 5.522, 5.522, 5.959 Å; angles 90.00, 90.00, 90.00 degrees
Fractional positions:
I: 0.000 0.000 0.500
Sb: 0.000 0.500 0.000
Sb: 0.500 0.000 0.000
Hg: 0.500 0.500 0.500
Se: 0.000 0.000 0.000

---

Material: HgSbSeI2
Method: DFT, GGA-PBE
State: relaxed

Properties
Formation energy without anion corrections   0.341 eV per atom
Space group   P4/mmm (123)
ΔE to the lowest computed polymorph   0 meV per atom
Calculated volume   39.3 Å³ per atom
DOS(E_F)   3.53 states/eV/cell
E   -1.86 eV per atom
Calculated density   5.5 g/cm3

Cell lengths 5.965, 5.965, 5.522 Å; angles 90.00, 90.00, 90.00 degrees
Fractional positions:
I: 0.000 0.500 0.000
I: 0.500 0.000 0.000
Sb: 0.000 0.000 0.500
Hg: 0.500 0.500 0.500
Se: 0.000 0.000 0.000

---

Material: HgSb2SeI
Method: DFT, GGA-PBE
State: relaxed

Properties
Formation energy without anion corrections   0.826 eV per atom
Space group   P4/mmm (123)
ΔE to the lowest computed polymorph   295 meV per atom
Calculated volume   35.7 Å³ per atom
DOS(E_F)   4.97 states/eV/cell
E   -1.89 eV per atom
Calculated density   6.0 g/cm3

Cell lengths 5.649, 5.649, 5.596 Å; angles 90.00, 90.00, 90.00 degrees
Fractional positions:
I: 0.000 0.000 0.500
Sb: 0.000 0.500 0.000
Sb: 0.500 0.000 0.000
Hg: 0.000 0.000 0.000
Se: 0.500 0.500 0.500

---

Material: SiHgSb2I
Method: DFT, GGA-PBE
State: relaxed

Properties
Formation energy without anion corrections   1.087 eV per atom
Space group   P4/mmm (123)
ΔE to the lowest computed polymorph   578 meV per atom
Calculated volume   36.2 Å³ per atom
DOS(E_F)   5.74 states/eV/cell
E   -2.02 eV per atom
Calculated density   5.5 g/cm3

Cell lengths 5.520, 5.520, 5.948 Å; angles 90.00, 90.00, 90.00 degrees
Fractional positions:
I: 0.000 0.000 0.500
Sb: 0.000 0.500 0.000
Sb: 0.500 0.000 0.000
Si: 0.500 0.500 0.500
Hg: 0.000 0.000 0.000

---

Material: Si2HgSbI
Method: DFT, GGA-PBE
State: relaxed

Properties
Formation energy without anion corrections   1.302 eV per atom
Space group   P4/mmm (123)
Calculated volume   32.7 Å³ per atom
DOS(E_F)   3.31 states/eV/cell
E   -2.06 eV per atom
Calculated density   5.1 g/cm3

Cell lengths 5.362, 5.678, 5.362 Å; angles 90.00, 90.00, 90.00 degrees
Fractional positions:
I: 0.000 0.000 0.000
Sb: 0.500 0.500 0.500
Si: 0.000 0.000 0.500
Si: 0.500 0.000 0.000
Hg: 0.000 0.500 0.000

---

Material: SiHgSb2I
Method: DFT, GGA-PBE
State: relaxed

Properties
Formation energy without anion corrections   0.509 eV per atom
Space group   P4/mmm (123)
ΔE to the lowest computed polymorph   0 meV per atom
Calculated volume   31.8 Å³ per atom
DOS(E_F)   4.88 states/eV/cell
E   -2.60 eV per atom
Calculated density   6.3 g/cm3

Cell lengths 5.303, 5.303, 5.649 Å; angles 90.00, 90.00, 90.00 degrees
Fractional positions:
I: 0.000 0.000 0.500
Sb: 0.000 0.500 0.000
Sb: 0.500 0.000 0.000
Si: 0.000 0.000 0.000
Hg: 0.500 0.500 0.500

---

Material: SnHgSbI2
Method: DFT, GGA-PBE
State: relaxed

Properties
Formation energy without anion corrections   0.267 eV per atom
Space group   P4/mmm (123)
ΔE to the lowest computed polymorph   99 meV per atom
Calculated volume   43.7 Å³ per atom
DOS(E_F)   3.25 states/eV/cell
E   -2.04 eV per atom
Calculated density   5.3 g/cm3

Cell lengths 6.166, 6.166, 5.746 Å; angles 90.00, 90.00, 90.00 degrees
Fractional positions:
I: 0.000 0.500 0.000
I: 0.500 0.000 0.000
Sb: 0.500 0.500 0.500
Hg: 0.000 0.000 0.500
Sn: 0.000 0.000 0.000

---

Material: SnHgSbI2
Method: DFT, GGA-PBE
State: relaxed

Properties
Formation energy without anion corrections   0.168 eV per atom
Space group   P4/mmm (123)
ΔE to the lowest computed polymorph   0 meV per atom
Calculated volume   44.5 Å³ per atom
DOS(E_F)   3.13 states/eV/cell
E   -2.14 eV per atom
Calculated density   5.2 g/cm3

Cell lengths 6.100, 6.100, 5.984 Å; angles 90.00, 90.00, 90.00 degrees
Fractional positions:
I: 0.000 0.500 0.000
I: 0.500 0.000 0.000
Sb: 0.000 0.000 0.500
Hg: 0.500 0.500 0.500
Sn: 0.000 0.000 0.000

---

Material: SrHgSbI2
Method: DFT, GGA-PBE
State: relaxed

Properties
Formation energy without anion corrections   -0.313 eV per atom
Space group   P4/mmm (123)
ΔE to the lowest computed polymorph   0 meV per atom
Calculated volume   56.5 Å³ per atom
DOS(E_F)   5.00 states/eV/cell
E   -2.15 eV per atom
Calculated density   3.9 g/cm3

Cell lengths 6.342, 6.342, 7.024 Å; angles 90.00, 90.00, 90.00 degrees
Fractional positions:
I: 0.000 0.500 0.000
I: 0.500 0.000 0.000
Sb: 0.000 0.000 0.500
Hg: 0.500 0.500 0.500
Sr: 0.000 0.000 0.000

---

Material: Sr2HgSbI
Method: DFT, GGA-PBE
State: relaxed

Properties
Formation energy without anion corrections   -0.238 eV per atom
Space group   P4/mmm (123)
Calculated volume   45.4 Å³ per atom
DOS(E_F)   1.35 states/eV/cell
E   -2.11 eV per atom
Calculated density   4.6 g/cm3

Cell lengths 6.193, 5.912, 6.193 Å; angles 90.00, 90.00, 90.00 degrees
Fractional positions:
I: 0.000 0.000 0.000
Sb: 0.500 0.500 0.500
Hg: 0.000 0.500 0.000
Sr: 0.000 0.000 0.500
Sr: 0.500 0.000 0.000

---

Material: SrHgSbI6
Method: DFT, GGA-PBE
State: relaxed

Properties
Formation energy without anion corrections   -0.687 eV per atom
Space group   C2 (5)
Calculated volume   45.0 Å³ per atom
DOS(E_F)   3.75 states/eV/cell
E   -2.40 eV per atom
Calculated density   4.8 g/cm3

Cell lengths 7.974, 7.974, 7.350 Å; angles 89.97, 90.03, 59.97 degrees
Fractional positions:
Sr: 0.667 0.667 0.500
Hg: 0.000 0.000 0.000
Sb: 0.333 0.333 0.500
I: 0.025 0.330 0.256
I: 0.330 0.025 0.744
I: 0.645 0.329 0.744
I: 0.025 0.645 0.744
I: 0.329 0.645 0.256
I: 0.645 0.025 0.256

---

Material: SrHgSbI2
Method: DFT, GGA-PBE
State: relaxed

Properties
Formation energy without anion corrections   -0.246 eV per atom
Space group   P4/mmm (123)
ΔE to the lowest computed polymorph   66 meV per atom
Calculated volume   40.8 Å³ per atom
DOS(E_F)   4.83 states/eV/cell
E   -2.09 eV per atom
Calculated density   5.4 g/cm3

Cell lengths 6.014, 6.014, 5.645 Å; angles 90.00, 90.00, 90.00 degrees
Fractional positions:
I: 0.000 0.500 0.000
I: 0.500 0.000 0.000
Sb: 0.000 0.000 0.500
Hg: 0.000 0.000 0.000
Sr: 0.500 0.500 0.500